(1)
# SnRuRhAu2, optimized geometry, DFT PBE
# M_tot ... 2.88 μB/f.u.
# Final energy ... -3.95 eV per atom
# N(E_F) ... 10.72 states/eV/f.u.
data_SnRuRhAu2
_symmetry_space_group_name_H-M 'P 4/m m m'
_symmetry_Int_Tables_number 123
_symmetry_space_group_name_Hall '-P 4 2'
_cell_length_a 5.0176
_cell_length_b 5.0176
_cell_length_c 4.9353
_cell_angle_alpha 90.00
_cell_angle_beta 90.00
_cell_angle_gamma 90.00
loop_
_atom_site_label
_atom_site_type_symbol
_atom_site_fract_x
_atom_site_fract_y
_atom_site_fract_z
Sn1 Sn 0.0000 0.0000 0.0000
Ru1 Ru 0.0000 0.0000 0.5000
Rh1 Rh 0.5000 0.5000 0.5000
Au1 Au 0.0000 0.5000 0.0000

(2)
# SnRuRhAu, optimized geometry, DFT PBE
# M_tot ... 0.31 μB/f.u.
# Final energy ... -5.98 eV per atom
# N(E_F) ... 5.85 states/eV/f.u.
data_SnRuRhAu
_symmetry_space_group_name_H-M 'F -4 3 m'
_symmetry_Int_Tables_number 216
_symmetry_space_group_name_Hall 'F -4 2 3'
_cell_length_a 6.4196
_cell_length_b 6.4196
_cell_length_c 6.4196
_cell_angle_alpha 90.00
_cell_angle_beta 90.00
_cell_angle_gamma 90.00
loop_
_atom_site_label
_atom_site_type_symbol
_atom_site_fract_x
_atom_site_fract_y
_atom_site_fract_z
Sn1 Sn 0.0000 0.0000 0.0000
Ru1 Ru 0.2500 0.2500 0.7500
Rh1 Rh 0.2500 0.2500 0.2500
Au1 Au 0.0000 0.0000 0.5000

(3)
# SnRu2RhAu, optimized geometry, DFT PBE
# M_tot ... 3.92 μB/f.u.
# Final energy ... -5.03 eV per atom
# N(E_F) ... 5.84 states/eV/f.u.
data_SnRu2RhAu
_symmetry_space_group_name_H-M 'P 4/m m m'
_symmetry_Int_Tables_number 123
_symmetry_space_group_name_Hall '-P 4 2'
_cell_length_a 4.8663
_cell_length_b 4.8663
_cell_length_c 4.8155
_cell_angle_alpha 90.00
_cell_angle_beta 90.00
_cell_angle_gamma 90.00
loop_
_atom_site_label
_atom_site_type_symbol
_atom_site_fract_x
_atom_site_fract_y
_atom_site_fract_z
Sn1 Sn 0.0000 0.0000 0.0000
Ru1 Ru 0.0000 0.5000 0.0000
Rh1 Rh 0.0000 0.0000 0.5000
Au1 Au 0.5000 0.5000 0.5000

(4)
# TaRuRhAu, optimized geometry, DFT PBE
# M_tot ... 0.00 μB/f.u.
# Final energy ... -8.07 eV per atom
# N(E_F) ... 5.16 states/eV/f.u.
data_TaRuRhAu
_symmetry_space_group_name_H-M 'F -4 3 m'
_symmetry_Int_Tables_number 216
_symmetry_space_group_name_Hall 'F -4 2 3'
_cell_length_a 6.3390
_cell_length_b 6.3390
_cell_length_c 6.3390
_cell_angle_alpha 90.00
_cell_angle_beta 90.00
_cell_angle_gamma 90.00
loop_
_atom_site_label
_atom_site_type_symbol
_atom_site_fract_x
_atom_site_fract_y
_atom_site_fract_z
Ta1 Ta 0.0000 0.0000 0.0000
Ru1 Ru 0.2500 0.2500 0.7500
Rh1 Rh 0.2500 0.2500 0.2500
Au1 Au 0.0000 0.0000 0.5000

(5)
# Tb4RuRh2Au, optimized geometry, DFT PBE
# M_tot ... 0.00 μB/f.u.
# Final energy ... -6.43 eV per atom
# N(E_F) ... 4.63 states/eV/f.u.
data_Tb4RuRh2Au
_symmetry_space_group_name_H-M 'R -3 m'
_symmetry_Int_Tables_number 166
_symmetry_space_group_name_Hall '-R 3 2"'
_cell_length_a 4.9226
_cell_length_b 4.9226
_cell_length_c 24.0626
_cell_angle_alpha 90.00
_cell_angle_beta 90.00
_cell_angle_gamma 120.00
loop_
_atom_site_label
_atom_site_type_symbol
_atom_site_fract_x
_atom_site_fract_y
_atom_site_fract_z
Tb1 Tb 0.0000 0.0000 0.1213
Tb2 Tb 0.0000 0.0000 0.3722
Ru1 Ru 0.0000 0.0000 0.0000
Rh1 Rh 0.0000 0.0000 0.2511
Au1 Au 0.0000 0.0000 0.5000

(6)
# TlRu2RhAu, optimized geometry, DFT PBE
# M_tot ... 0.59 μB/f.u.
# Final energy ... -5.00 eV per atom
# N(E_F) ... 6.12 states/eV/f.u.
data_TlRu2RhAu
_symmetry_space_group_name_H-M 'P 4/m m m'
_symmetry_Int_Tables_number 123
_symmetry_space_group_name_Hall '-P 4 2'
_cell_length_a 4.6708
_cell_length_b 4.6708
_cell_length_c 5.1094
_cell_angle_alpha 90.00
_cell_angle_beta 90.00
_cell_angle_gamma 90.00
loop_
_atom_site_label
_atom_site_type_symbol
_atom_site_fract_x
_atom_site_fract_y
_atom_site_fract_z
Tl1 Tl 0.0000 0.0000 0.0000
Ru1 Ru 0.0000 0.5000 0.5000
Rh1 Rh 0.5000 0.5000 0.5000
Au1 Au 0.5000 0.5000 0.0000

(7)
# Tm4RuRh2Au, optimized geometry, DFT PBE
# M_tot ... 0.00 μB/f.u.
# Final energy ... -6.45 eV per atom
# N(E_F) ... 5.48 states/eV/f.u.
data_Tm4RuRh2Au
_symmetry_space_group_name_H-M 'R -3 m'
_symmetry_Int_Tables_number 166
_symmetry_space_group_name_Hall '-R 3 2"'
_cell_length_a 4.8369
_cell_length_b 4.8369
_cell_length_c 23.6186
_cell_angle_alpha 90.00
_cell_angle_beta 90.00
_cell_angle_gamma 120.00
loop_
_atom_site_label
_atom_site_type_symbol
_atom_site_fract_x
_atom_site_fract_y
_atom_site_fract_z
Tm1 Tm 0.0000 0.0000 0.1213
Tm2 Tm 0.0000 0.0000 0.3720
Ru1 Ru 0.0000 0.0000 0.0000
Rh1 Rh 0.0000 0.0000 0.2508
Au1 Au 0.0000 0.0000 0.5000

(8)
# VRuRhAu, optimized geometry, DFT PBE
# M_tot ... 0.00 μB/f.u.
# Final energy ... -7.17 eV per atom
# N(E_F) ... 4.95 states/eV/f.u.
data_VRuRhAu
_symmetry_space_group_name_H-M 'F -4 3 m'
_symmetry_Int_Tables_number 216
_symmetry_space_group_name_Hall 'F -4 2 3'
_cell_length_a 6.2043
_cell_length_b 6.2043
_cell_length_c 6.2043
_cell_angle_alpha 90.00
_cell_angle_beta 90.00
_cell_angle_gamma 90.00
loop_
_atom_site_label
_atom_site_type_symbol
_atom_site_fract_x
_atom_site_fract_y
_atom_site_fract_z
V1 V 0.0000 0.0000 0.0000
Ru1 Ru 0.2500 0.2500 0.2500
Rh1 Rh 0.2500 0.2500 0.7500
Au1 Au 0.0000 0.0000 0.5000